Record 1
La3PrEr2Tm6: optimized geometry, PBE-GGA.

## Properties
Density of states at the Fermi level: 15.217 states/eV/f.u.
Magnetic moment: 0.00 μB/f.u.
Energy of formation: 0.025 eV/atom

```
data_La3PrEr2Tm6
_cell_length_a 6.1993
_cell_length_b 10.7351
_cell_length_c 11.7639
_cell_angle_alpha 90.00
_cell_angle_beta 100.11
_cell_angle_gamma 90.00
_space_group_name_H-M_alt 'C 1 2/m 1'
_space_group_IT_number 12
loop_
_space_group_symop_operation_xyz
'x,y,z'
'-x,-y,-z'
'-x,y,-z'
'x,-y,z'
'x+1/2,y+1/2,z'
'-x+1/2,-y+1/2,-z'
'-x+1/2,y+1/2,-z'
'x+1/2,-y+1/2,z'
loop_
_atom_site_label
_atom_site_fract_x
_atom_site_fract_y
_atom_site_fract_z
_atom_site_occupancy
La1 0.0000 0.0000 0.0000 1
La2 0.0000 0.3335 0.0000 1
Pr1 0.0000 0.5000 0.5000 1
Er1 0.0000 0.1669 0.5000 1
Tm1 0.2476 0.0000 0.7455 1
Tm2 0.2489 0.3329 0.7455 1
```



Record 2
Ta3Ir3Os: optimized geometry, PBE-GGA.

## Properties
Density of states at the Fermi level: 4.314 states/eV/f.u.
Magnetic moment: 0.00 μB/f.u.
Energy of formation: -0.270 eV/atom

```
data_Ta3Ir3Os
_cell_length_a 7.7790
_cell_length_b 7.7790
_cell_length_c 7.7790
_cell_angle_alpha 90.00
_cell_angle_beta 90.00
_cell_angle_gamma 90.00
_space_group_name_H-M_alt 'P 21 3'
_space_group_IT_number 198
_space_group_name_Hall 'P 2ac 2ab 3'
loop_
_atom_site_label
_atom_site_fract_x
_atom_site_fract_y
_atom_site_fract_z
_atom_site_occupancy
Ta1 0.0376 0.3117 0.8701 1
Ir1 0.0380 0.4620 0.5380 1
Ir2 0.1598 0.8402 0.3402 1
Ir3 0.1654 0.1654 0.1654 1
Os1 0.1326 0.6326 0.8674 1
```



Record 3
Hg2GePb: optimized geometry, PBE-GGA.

## Properties
Density of states at the Fermi level: 2.106 states/eV/f.u.
Magnetic moment: 0.00 μB/f.u.
Energy of formation: 0.185 eV/atom

```
data_Hg2GePb
_cell_length_a 8.2516
_cell_length_b 8.2516
_cell_length_c 6.2064
_cell_angle_alpha 90.00
_cell_angle_beta 90.00
_cell_angle_gamma 90.00
_space_group_name_H-M_alt 'I -4 2 d'
_space_group_IT_number 122
_space_group_name_Hall 'I -4 2bw'
loop_
_atom_site_label
_atom_site_fract_x
_atom_site_fract_y
_atom_site_fract_z
_atom_site_occupancy
Hg1 0.2155 0.2500 0.1250 1
Ge1 0.0000 0.0000 0.0000 1
Pb1 0.0000 0.0000 0.5000 1
```



Record 4
TlSeIBr2: optimized geometry, PBE-GGA.

## Properties
Density of states at the Fermi level: 3.036 states/eV/f.u.
Magnetic moment: 0.00 μB/f.u.
Formation energy without anion corrections: -0.017 eV/atom

```
data_TlSeIBr2
_cell_length_a 5.8777
_cell_length_b 5.8777
_cell_length_c 5.4678
_cell_angle_alpha 90.00
_cell_angle_beta 90.00
_cell_angle_gamma 90.00
_space_group_name_H-M_alt 'P 4/m m m'
_space_group_IT_number 123
_space_group_name_Hall '-P 4 2'
loop_
_atom_site_label
_atom_site_fract_x
_atom_site_fract_y
_atom_site_fract_z
_atom_site_occupancy
Tl1 0.0000 0.0000 0.0000 1
Se1 0.5000 0.5000 0.0000 1
I1 0.5000 0.5000 0.5000 1
Br1 0.0000 0.5000 0.5000 1
```



Record 5
TaBr3Cl: optimized geometry, PBE-GGA.

## Properties
Density of states at the Fermi level: 4.135 states/eV/f.u.
Magnetic moment: 0.00 μB/f.u.
Formation energy without anion corrections: -0.300 eV/atom

```
data_TaBr3Cl
_cell_length_a 5.0853
_cell_length_b 5.0853
_cell_length_c 5.0853
_cell_angle_alpha 90.00
_cell_angle_beta 90.00
_cell_angle_gamma 90.00
_space_group_name_H-M_alt 'P m -3 m'
_space_group_IT_number 221
_space_group_name_Hall '-P 4 2 3'
loop_
_atom_site_label
_atom_site_fract_x
_atom_site_fract_y
_atom_site_fract_z
_atom_site_occupancy
Ta1 0.0000 0.0000 0.0000 1
Br1 0.0000 0.0000 0.5000 1
Cl1 0.5000 0.5000 0.5000 1
```



Record 6
SrMg3Co: optimized geometry, PBE-GGA.

## Properties
Density of states at the Fermi level: 3.452 states/eV/f.u.
Magnetic moment: 2.00 μB/f.u.
Energy of formation: 1.617 eV/atom

```
data_SrMg3Co
_cell_length_a 6.4651
_cell_length_b 6.4651
_cell_length_c 6.4651
_cell_angle_alpha 90.00
_cell_angle_beta 90.00
_cell_angle_gamma 90.00
_space_group_name_H-M_alt 'P m -3 m'
_space_group_IT_number 221
_space_group_name_Hall '-P 4 2 3'
loop_
_atom_site_label
_atom_site_fract_x
_atom_site_fract_y
_atom_site_fract_z
_atom_site_occupancy
Sr1 0.0000 0.0000 0.0000 1
Mg1 0.0000 0.0000 0.5000 1
Co1 0.5000 0.5000 0.5000 1
```